1.
Density functional theory data (PBE) for a geometry-optimized Ca2Pd15Au2 structure.

```
19
Lattice="4.6132 2.6635 4.5307 -4.6132 2.6635 4.5307 0.0000 -5.3269 4.5307" Properties=species:S:1:pos:R:3 pbc="T T T"
Ca 0.0000 0.0000 2.1728
Ca 0.0000 0.0000 11.4193
Pd -2.3066 -1.3317 4.5307
Pd 0.0000 -2.7017 4.3808
Pd -2.3398 1.3509 4.3808
Pd -1.4142 -2.4495 6.7960
Pd -2.8285 0.0000 6.7960
Pd -2.3398 -1.3509 9.2113
Pd -2.3066 1.3317 9.0614
Pd 1.4142 -2.4495 6.7960
Pd 0.0000 2.6635 4.5307
Pd -1.4142 2.4495 6.7960
Pd 2.3398 1.3509 4.3808
Pd 2.8285 0.0000 6.7960
Pd 1.4142 2.4495 6.7960
Pd 2.3398 -1.3509 9.2113
Pd 0.0000 2.7017 9.2113
Au 0.0000 0.0000 5.4040
Au 0.0000 0.0000 8.1881
```

Calculated values
The space group is R-3m (166).


2.
Density functional theory data (PBE) for a geometry-optimized Ca5Pd2Au2 structure.

```
18
Lattice="7.6809 -3.8979 0.0000 7.6809 3.8979 0.0000 0.0000 0.0000 7.8161" Properties=species:S:1:pos:R:3 pbc="T T T"
Ca 0.0000 0.0000 0.0000
Ca 5.6215 2.5694 5.2076
Ca 5.6215 1.3284 1.2995
Ca 9.7402 2.5694 5.2076
Ca 9.7402 1.3284 1.2995
Ca 7.6809 0.0000 3.9081
Ca 5.6215 -1.3284 6.5166
Ca 5.6215 -2.5694 2.6085
Ca 9.7402 -1.3284 6.5166
Ca 9.7402 -2.5694 2.6085
Pd 7.6809 2.9204 2.9245
Pd 7.6809 0.9775 6.8325
Pd 7.6809 -0.9775 0.9836
Pd 7.6809 -2.9204 4.8916
Au 3.1099 0.0000 0.0000
Au 4.5709 0.0000 3.9081
Au 10.7908 0.0000 3.9081
Au 12.2518 0.0000 0.0000
```

Calculated values
The space group is Cmce (64).


3.
Density functional theory data (PBE) for a geometry-optimized Ca8Pd5Au structure.

```
14
Lattice="-4.4737 4.4737 4.4467 4.4737 -4.4737 4.4467 4.4737 4.4737 -4.4467" Properties=species:S:1:pos:R:3 pbc="T T T"
Ca 6.1197 0.6029 -0.5375
Ca 1.5851 -0.6215 2.7368
Ca 0.6029 2.8277 0.5375
Ca 2.8886 5.0952 -1.7099
Ca 3.8522 2.8886 1.7099
Ca 3.8708 1.6460 4.9842
Ca 0.6215 1.5851 6.1567
Ca -1.6460 3.8708 3.9093
Pd 0.0000 0.0000 0.0000
Pd 3.3372 2.2459 -1.0964
Pd 2.2278 -1.1365 5.5431
Pd 1.1365 2.2278 3.3504
Pd 2.2459 5.6102 1.0964
Au 4.4737 0.0000 2.2234
```

Calculated values
The space group is I-4 (82).


Here are the calculated magnetization numbers, same order: 0.001, 0.000, 0.000 (μB/f.u.).
Here are the calculated energy relative to the elements numbers, same order: -0.2224, -0.7000, -0.6127 (eV/atom).